No. 1
A plane-wave DFT calculation with GGA-PBE was carried out for crystalline CaScPt2 at its relaxed geometry.

* magnetization: 0.0 μB/cell
* DOS at the Fermi energy: 1.15 states/eV/cell
* ΔE_f: -74.21 kJ/mol of atoms

a b c (Å): 3.101 4.565 5.687
angles (deg): 90.00 90.00 90.00
Sites, in units of the cell vectors:
Pt 0.000 0.000 0.945
Pt 0.500 0.500 0.315
Ca 0.500 0.500 0.812
Sc 0.000 0.000 0.428

No. 2
A plane-wave DFT calculation with GGA-PBE was carried out for crystalline TbIn2IrO8 at its relaxed geometry.

* formation energy without anion corrections: -1487 meV per atom
* magnetization: 2.0 μB/cell
* DOS at the Fermi energy: 5.76 states/eV/cell

a b c (Å): 4.949 4.945 6.651
angles (deg): 90.00 90.00 90.97
Sites, in units of the cell vectors:
In 0.500 0.500 0.248
In 0.500 0.500 0.752
O 0.815 0.187 0.211
O 0.284 0.282 0.000
O 0.716 0.718 0.000
O 0.313 0.311 0.500
O 0.815 0.187 0.789
O 0.185 0.813 0.211
O 0.687 0.689 0.500
O 0.185 0.813 0.789
Tb 0.000 0.000 0.500
Ir 0.000 0.000 0.000

No. 3
A plane-wave DFT calculation with GGA-PBE was carried out for crystalline NiAgAs2 at its relaxed geometry.

* magnetization: 0.0 μB/cell
* DOS at the Fermi energy: 1.77 states/eV/cell
* ΔE_f: 6.97 kJ/mol of atoms

a b c (Å): 6.031 6.031 6.031
angles (deg): 152.16 135.63 53.19
Sites, in units of the cell vectors:
Ag 0.250 0.750 0.500
Ni 0.750 0.250 0.500
As 0.573 0.573 0.000
As 0.927 0.927 0.000

No. 4
A plane-wave DFT calculation with GGA-PBE was carried out for crystalline GdTmGe at its relaxed geometry.

* magnetization: 7.1 μB/cell
* DOS at the Fermi energy: 2.64 states/eV/cell
* ΔE_f: -38.15 kJ/mol of atoms

a b c (Å): 4.138 4.714 4.714
angles (deg): 120.00 90.00 90.00
Sites, in units of the cell vectors:
Ge 0.074 0.000 0.000
Tm 0.223 0.667 0.333
Gd 0.704 0.333 0.667

No. 5
A plane-wave DFT calculation with GGA-PBE was carried out for crystalline YCd2Ru at its relaxed geometry.

* magnetization: 0.0 μB/cell
* DOS at the Fermi energy: 1.96 states/eV/cell
* ΔE_f: -15.86 kJ/mol of atoms

a b c (Å): 5.512 5.512 5.512
angles (deg): 135.55 135.59 64.64
Sites, in units of the cell vectors:
Ru 0.750 0.250 0.500
Cd 0.500 0.500 0.000
Cd 0.000 0.000 0.000
Y 0.250 0.750 0.500

No. 6
A plane-wave DFT calculation with GGA-PBE was carried out for crystalline AcSnAu2 at its relaxed geometry.

* magnetization: 0.0 μB/cell
* DOS at the Fermi energy: 1.53 states/eV/cell
* ΔE_f: -53.30 kJ/mol of atoms

a b c (Å): 4.875 5.804 4.848
angles (deg): 126.76 90.00 90.00
Sites, in units of the cell vectors:
Au 0.500 0.258 0.517
Au 0.000 0.075 0.150
Sn 0.000 0.456 0.911
Ac 0.500 0.814 0.628

Q: magnetization of number 1 (CaScPt2)?
A: 0.0 μB/cell

Please write out number 5 again, unchanged.
A plane-wave DFT calculation with GGA-PBE was carried out for crystalline YCd2Ru at its relaxed geometry.

* magnetization: 0.0 μB/cell
* DOS at the Fermi energy: 1.96 states/eV/cell
* ΔE_f: -15.86 kJ/mol of atoms

a b c (Å): 5.512 5.512 5.512
angles (deg): 135.55 135.59 64.64
Sites, in units of the cell vectors:
Ru 0.750 0.250 0.500
Cd 0.500 0.500 0.000
Cd 0.000 0.000 0.000
Y 0.250 0.750 0.500

Q: Which of these has the highest DOS at the Fermi energy?
A: TbIn2IrO8

Q: Which of these has the highest magnetization?
A: GdTmGe